# 1
Computed, not measured: a relaxed BeZnFe3 crystal at the GGA-PBE level of DFT.

Calculated values
- spin magnetization (Bohr magnetons per cell) = 6.180
- energy relative to the lowest polymorph listed for this composition (eV per atom) = 0.000
- formation enthalpy at 0 K (eV/atom) = 0.47

abc: 3.9474 3.9474 3.9474
angles: 90.00 90.00 90.00
Space group Pm-3m (No. 221)
Unique sites:
Be (0.0000, 0.0000, 0.0000) x1
Zn (0.5000, 0.5000, 0.5000) x1
Fe (0.0000, 0.0000, 0.5000) x3


# 2
Computed, not measured: a relaxed BeZn2Fe crystal at the GGA-PBE level of DFT.

Calculated values
- spin magnetization (Bohr magnetons per cell) = 3.457
- formation enthalpy at 0 K (eV/atom) = 0.07

abc: 9.2824 2.5795 4.4632
angles: 90.00 117.31 90.00
Space group Cm (No. 8)
Unique sites:
Be (0.0000, 0.0000, 0.0000) x2
Zn (0.0093, 0.5000, 0.5213) x2
Zn (0.2483, 0.5000, 0.4069) x2
Fe (0.2663, 0.0000, 0.9307) x2


# 3
Computed, not measured: a relaxed BeZn2Fe crystal at the GGA-PBE level of DFT.

Calculated values
- spin magnetization (Bohr magnetons per cell) = 6.814
- formation enthalpy at 0 K (eV/atom) = 0.17

abc: 2.5962 2.5962 25.0494
angles: 90.00 90.00 120.00
Space group R-3m (No. 166, hexagonal axes)
Unique sites:
Be (0.0000, 0.0000, 0.0000) x3
Zn (0.0000, 0.0000, 0.2526) x6
Fe (0.0000, 0.0000, 0.5000) x3


# 4
Computed, not measured: a relaxed BeZn4Fe crystal at the GGA-PBE level of DFT.

Calculated values
- spin magnetization (Bohr magnetons per cell) = 9.162
- formation enthalpy at 0 K (eV/atom) = 0.35

abc: 6.8995 6.8995 6.8995
angles: 90.00 90.00 90.00
Space group F-43m (No. 216)
Unique sites:
Be (0.0000, 0.0000, 0.0000) x4
Zn (0.1248, 0.1248, 0.3752) x16
Fe (0.2500, 0.2500, 0.7500) x4


# 5
Computed, not measured: a relaxed BeZn2Fe crystal at the GGA-PBE level of DFT.

Calculated values
- spin magnetization (Bohr magnetons per cell) = 1.929
- formation enthalpy at 0 K (eV/atom) = 0.02

abc: 3.5961 3.5961 3.6661
angles: 90.00 90.00 90.00
Space group P4/mmm (No. 123)
Unique sites:
Be (0.0000, 0.0000, 0.0000) x1
Zn (0.0000, 0.5000, 0.5000) x2
Fe (0.5000, 0.5000, 0.0000) x1


# 6
Computed, not measured: a relaxed Be2ZnFe crystal at the GGA-PBE level of DFT.

Calculated values
- spin magnetization (Bohr magnetons per cell) = 5.383
- formation enthalpy at 0 K (eV/atom) = 0.12

abc: 2.4894 2.4894 23.9346
angles: 90.00 90.00 120.00
Space group R-3m (No. 166, hexagonal axes)
Unique sites:
Be (0.0000, 0.0000, 0.2429) x6
Zn (0.0000, 0.0000, 0.0000) x3
Fe (0.0000, 0.0000, 0.5000) x3


# 7
Computed, not measured: a relaxed BeZn2Fe crystal at the GGA-PBE level of DFT.

Calculated values
- spin magnetization (Bohr magnetons per cell) = 5.924
- formation enthalpy at 0 K (eV/atom) = 0.11

abc: 2.5779 2.5779 25.6691
angles: 90.00 90.00 120.00
Space group R3m (No. 160, hexagonal axes)
Unique sites:
Be (0.0000, 0.0000, 0.0000) x3
Zn (0.0000, 0.0000, 0.5142) x3
Zn (0.0000, 0.0000, 0.7502) x3
Fe (0.0000, 0.0000, 0.2648) x3


# 8
Computed, not measured: a relaxed Be2ZnFe crystal at the GGA-PBE level of DFT.

Calculated values
- spin magnetization (Bohr magnetons per cell) = 2.192
- formation enthalpy at 0 K (eV/atom) = 0.09

abc: 2.6787 3.9975 7.6888
angles: 90.00 90.00 90.00
Space group Immm (No. 71)
Unique sites:
Be (0.0000, 0.0000, 0.2417) x4
Zn (0.0000, 0.5000, 0.0000) x2
Fe (0.0000, 0.5000, 0.5000) x2